DFT (PBEsol) results for a relaxed structure of BaSrCa2.

```
BaSrCa2
1.0
-3.3304 4.6084 -1.4779
-4.5434 -3.5952 -0.9725
2.3605 0.0528 6.5217
Sr Ca Ba
1 2 1
direct
0.5000 0.5000 0.0000
0.7500 0.2500 0.5000
0.2500 0.7500 0.5000
0.0000 0.0000 0.0000
```

Results
**Volume**: 47.93 A^3/atom
**Electronic total energy**: -2.03 eV/atom
**ΔE_f**: 29.7 meV per atom
**Space-group type**: I4/mmm (139)
**Distance to the lowest polymorph of the same formula**: 0.0114 eV per atom